KTl2As | PBE | optimized geometry

Structure (POSCAR):
```
KTl2As
1.0
-4.5337 -0.5395 1.0967
-1.1870 0.9363 -4.4465
3.2411 -6.1463 0.3220
K Tl As
1 2 1
Direct
0.2803 0.7802 0.5606
0.5210 0.5210 0.0420
0.0210 0.0211 0.0421
0.6777 0.1777 0.3554
```

Values from the calculation:
SG   I4mm, No. 107
Formation energy   -127 meV/atom
Calculated volume   134.8 Å³/f.u.
Energy relative to the lowest polymorph listed for this composition   0.042 eV per atom

=====

KTl2As | PBE | optimized geometry

Structure (POSCAR):
```
KTl2As
1.0
-0.8591 5.1495 -1.8742
-3.7559 0.8318 3.9962
5.1286 -1.6561 1.3126
As K Tl
1 1 2
Direct
0.5000 0.5000 0.0000
0.7500 0.2500 0.5000
0.0000 0.0000 0.0000
0.2500 0.7500 0.5000
```

Values from the calculation:
SG   F-43m, No. 216
Formation energy   -55 meV/atom
Calculated volume   120.6 Å³/f.u.
Energy relative to the lowest polymorph listed for this composition   0.114 eV per atom

=====

KTlAs | PBE | optimized geometry

Structure (POSCAR):
```
KTlAs
1.0
6.5024 0.0000 0.0000
0.0000 6.3171 -2.2813
0.0000 0.5534 9.1145
K Tl As
4 4 4
Direct
0.9166 0.3422 0.1303
0.4166 0.6578 0.3697
0.0834 0.6578 0.8697
0.5834 0.3422 0.6303
0.9558 0.9074 0.2799
0.4558 0.0926 0.2201
0.0442 0.0926 0.7201
0.5442 0.9074 0.7799
0.0831 0.3273 0.4810
0.5831 0.6727 0.0190
0.9169 0.6727 0.5190
0.4169 0.3273 0.9810
```

Values from the calculation:
SG   P2_1/c, No. 14
Formation energy   -216 meV/atom
Calculated volume   95.7 Å³/f.u.
Energy relative to the lowest polymorph listed for this composition   0.041 eV per atom

=====

KTl2As | PBE | optimized geometry

Structure (POSCAR):
```
KTl2As
1.0
-0.5047 0.4285 6.1655
0.8739 -5.5932 2.5306
3.0473 3.9702 -3.6610
As K Tl
1 1 2
Direct
0.5307 0.5307 0.0000
0.2753 0.7753 0.5000
0.9821 0.9821 0.0000
0.7118 0.2118 0.5000
```

Values from the calculation:
SG   Imm2, No. 44
Formation energy   -88 meV/atom
Calculated volume   125.9 Å³/f.u.
Energy relative to the lowest polymorph listed for this composition   0.082 eV per atom